Below is a geometry-optimized Tm2CoCu structure, with properties calculated at the PBE level.

Results
E: -5.06 eV per atom
Magnetic moment: 0.000 μB/f.u.
Symmetry: R-3m (166)

Lattice parameters (Å, degrees): 3.7403 3.7403 7.3085 75.17 75.17 60.00
Last column: nearest neighbours and their distance in Å.
Fractional coordinates of all 4 atoms:
Tm 0.2397 0.2397 0.2808  3 Co 2.65, 3 Cu 2.92
Co 0.5000 0.5000 0.5000  6 Tm 2.65
Tm 0.7603 0.7603 0.7192  3 Co 2.65, 3 Cu 2.92
Cu 0.0000 0.0000 0.0000  6 Tm 2.92

---

Below is a geometry-optimized UCoC2 structure, with properties calculated at the PBE level.

Results
E: -9.29 eV per atom
Magnetic moment: 1.537 μB/f.u.
Symmetry: Cmcm (63)

Lattice parameters (Å, degrees): 4.9596 4.9596 4.8032 90.00 90.00 129.42
Last column: nearest neighbours and their distance in Å.
Fractional coordinates of all 8 atoms:
C 0.9237 0.7186 0.7500  1 C 1.47
C 0.0657 0.2712 0.2500  1 C 1.47
U 0.8241 0.1659 0.7500  8 C 2.46-2.59
C 0.2712 0.0657 0.7500  1 C 1.47
Co 0.4949 0.4949 0.5000  4 C 2.05
U 0.1659 0.8241 0.2500  8 C 2.46-2.59
C 0.7186 0.9237 0.2500  1 C 1.47
Co 0.4949 0.4949 0.0000  4 C 2.05

---

Below is a geometry-optimized LiAlGeO4 structure, with properties calculated at the PBE level.

Results
E: -6.59 eV per atom
Formation energy (no corrections): -2288 meV/atom
Magnetic moment: 0.000 μB/f.u.
Symmetry: R-3 (148)

Lattice parameters (Å, degrees): 8.6333 8.6333 8.6333 107.83 107.83 107.83
Last column: nearest neighbours and their distance in Å.
Fractional coordinates of all 42 atoms:
O 0.6849 0.6597 0.3449  2 Al 1.74-1.75, 1 Li 1.93
O 0.0481 0.3793 0.3228  1 Ge 1.75, 1 Al 1.81
Ge 0.8668 0.2795 0.1065  4 O 1.75-1.81
Al 0.3844 0.5681 0.7892  4 O 1.74-1.81
Al 0.7892 0.3844 0.5681  4 O 1.74-1.81
Ge 0.1332 0.7205 0.8935  4 O 1.75-1.81
O 0.6597 0.3449 0.6849  2 Al 1.74-1.75, 1 Li 1.93
Al 0.5681 0.7892 0.3844  4 O 1.74-1.81
O 0.6551 0.3151 0.3403  2 Al 1.74-1.75, 1 Li 1.93
O 0.7203 0.0449 0.0269  2 Ge 1.79-1.81
O 0.3793 0.3228 0.0481  1 Ge 1.75, 1 Al 1.81
O 0.2602 0.5989 0.9209  1 Ge 1.75, 1 Al 1.80
Ge 0.1065 0.8668 0.2795  4 O 1.75-1.81
O 0.0449 0.0269 0.7203  2 Ge 1.79-1.81
O 0.5989 0.9209 0.2602  1 Ge 1.75, 1 Al 1.80
Al 0.4319 0.2108 0.6156  4 O 1.74-1.81
Al 0.2108 0.6156 0.4319  4 O 1.74-1.81
O 0.3403 0.6551 0.3151  2 Al 1.74-1.75, 1 Li 1.93
O 0.3228 0.0481 0.3793  1 Ge 1.75, 1 Al 1.81
O 0.9551 0.9731 0.2797  2 Ge 1.79-1.81
Ge 0.2795 0.1065 0.8668  4 O 1.75-1.81
Li 0.9288 0.7604 0.5315  4 O 1.93-2.06
O 0.4011 0.0791 0.7398  1 Ge 1.75, 1 Al 1.80
Li 0.2396 0.4685 0.0712  4 O 1.93-2.06
O 0.0269 0.7203 0.0449  2 Ge 1.79-1.81
Li 0.4685 0.0712 0.2396  4 O 1.93-2.06
O 0.9731 0.2797 0.9551  2 Ge 1.79-1.81
O 0.9519 0.6207 0.6772  1 Ge 1.75, 1 Al 1.81
O 0.9209 0.2602 0.5989  1 Ge 1.75, 1 Al 1.80
O 0.0791 0.7398 0.4011  1 Ge 1.75, 1 Al 1.80
O 0.7398 0.4011 0.0791  1 Ge 1.75, 1 Al 1.80
O 0.3151 0.3403 0.6551  2 Al 1.74-1.75, 1 Li 1.93
Al 0.6156 0.4319 0.2108  4 O 1.74-1.81
O 0.2797 0.9551 0.9731  2 Ge 1.79-1.81
O 0.3449 0.6849 0.6597  2 Al 1.74-1.75, 1 Li 1.93
Ge 0.7205 0.8935 0.1332  4 O 1.75-1.81
O 0.6207 0.6772 0.9519  1 Ge 1.75, 1 Al 1.81
O 0.6772 0.9519 0.6207  1 Ge 1.75, 1 Al 1.81
Ge 0.8935 0.1332 0.7205  4 O 1.75-1.81
Li 0.0712 0.2396 0.4685  4 O 1.93-2.06
Li 0.7604 0.5315 0.9288  4 O 1.93-2.06
Li 0.5315 0.9288 0.7604  4 O 1.93-2.06

---

Below is a geometry-optimized Li3HfZr2Se6 structure, with properties calculated at the PBE level.

Results
E: -5.79 eV per atom
Formation energy (no corrections): -1314 meV/atom
Magnetic moment: 0.000 μB/f.u.
Symmetry: C2/m (12)

Lattice parameters (Å, degrees): 6.5034 6.5034 6.9907 98.93 98.93 119.99
Last column: nearest neighbours and their distance in Å.
Fractional coordinates of all 12 atoms:
Zr 0.3337 0.6663 0.0000  6 Se 2.75
Se 0.2445 0.2445 0.7487  1 Hf 2.71, 3 Li 2.73-2.75, 2 Zr 2.75
Se 0.4124 0.0837 0.2513  1 Hf 2.71, 3 Li 2.71-2.74, 2 Zr 2.75
Li 0.8317 0.1683 0.5000  6 Se 2.71-2.74
Se 0.7555 0.7555 0.2513  1 Hf 2.71, 3 Li 2.73-2.75, 2 Zr 2.75
Li 0.5000 0.5000 0.5000  6 Se 2.71-2.75
Zr 0.6663 0.3337 0.0000  6 Se 2.75
Se 0.5876 0.9163 0.7487  1 Hf 2.71, 3 Li 2.71-2.74, 2 Zr 2.75
Li 0.1683 0.8317 0.5000  6 Se 2.71-2.74
Hf 0.0000 0.0000 0.0000  6 Se 2.71
Se 0.9163 0.5876 0.7487  1 Hf 2.71, 3 Li 2.71-2.74, 2 Zr 2.75
Se 0.0837 0.4124 0.2513  1 Hf 2.71, 3 Li 2.71-2.74, 2 Zr 2.75

---

Below is a geometry-optimized KZnP2Cl structure, with properties calculated at the PBE level.

Results
E: -3.02 eV per atom
Formation energy (no corrections): -14 meV/atom
Magnetic moment: 1.390 μB/f.u.
Symmetry: P4/mmm (123)

Lattice parameters (Å, degrees): 4.5874 4.5874 6.3949 90.00 90.00 90.00
Last column: nearest neighbours and their distance in Å.
Fractional coordinates of all 5 atoms:
P 0.5000 0.0000 0.0000  2 Zn 2.29
K 0.5000 0.5000 0.5000  4 Cl 3.24
Cl 0.0000 0.0000 0.5000  2 Zn 3.20, 4 K 3.24
Zn 0.0000 0.0000 0.0000  4 P 2.29
P 0.0000 0.5000 0.0000  2 Zn 2.29

---

Below is a geometry-optimized NdSmTm2 structure, with properties calculated at the PBE level.

Results
E: -4.59 eV per atom
Magnetic moment: 0.000 μB/f.u.
Symmetry: R3m (160)

Lattice parameters (Å, degrees): 3.5938 3.5938 11.7214 81.18 81.18 60.00
Last column: nearest neighbours and their distance in Å.
Fractional coordinates of all 4 atoms:
Tm 0.2497 0.2497 0.2510  3 Sm 3.53, 3 Nd 3.55, 6 Tm 3.59
Nd 0.6663 0.6663 0.0010  6 Tm 3.55-3.57, 6 Nd 3.59
Sm 0.5005 0.5005 0.4986  6 Tm 3.53-3.56, 6 Sm 3.59
Tm 0.0835 0.0835 0.7495  3 Sm 3.56, 3 Nd 3.57, 6 Tm 3.59

---

Below is a geometry-optimized TlMoW2 structure, with properties calculated at the PBE level.

Results
E: -9.02 eV per atom
Magnetic moment: 0.000 μB/f.u.
Symmetry: I-4m2 (119)

Lattice parameters (Å, degrees): 5.0532 5.0532 5.0532 132.31 132.31 69.75
Last column: nearest neighbours and their distance in Å.
Fractional coordinates of all 4 atoms:
Mo 0.5000 0.5000 0.0000  8 W 2.89-2.91, 4 Tl 2.91
W 0.0000 0.0000 0.0000  4 Mo 2.89, 4 Tl 2.91, 4 W 2.91
W 0.2500 0.7500 0.5000  4 Tl 2.89, 4 Mo 2.91, 4 W 2.91
Tl 0.7500 0.2500 0.5000  8 W 2.89-2.91, 4 Mo 2.91

---

Below is a geometry-optimized La5Mg4Tl structure, with properties calculated at the PBE level.

Results
E: -3.51 eV per atom
Magnetic moment: 0.000 μB/f.u.
Symmetry: P4/mmm (123)

Lattice parameters (Å, degrees): 3.9720 3.9720 19.8209 90.00 90.00 90.00
Last column: nearest neighbours and their distance in Å.
Fractional coordinates of all 10 atoms:
Mg 0.0000 0.0000 0.6001  8 La 3.44
La 0.5000 0.5000 0.8989  4 Tl 3.45, 4 Mg 3.46
La 0.5000 0.5000 0.1011  4 Tl 3.45, 4 Mg 3.46
La 0.5000 0.5000 0.2998  8 Mg 3.40-3.44
La 0.5000 0.5000 0.5000  8 Mg 3.44
Mg 0.0000 0.0000 0.7970  8 La 3.40-3.46
Tl 0.0000 0.0000 0.0000  8 La 3.45
La 0.5000 0.5000 0.7002  8 Mg 3.40-3.44
Mg 0.0000 0.0000 0.2030  8 La 3.40-3.46
Mg 0.0000 0.0000 0.3999  8 La 3.44

---

Below is a geometry-optimized HfZr2TlH structure, with properties calculated at the PBE level.

Results
E: -6.76 eV per atom
Magnetic moment: 0.000 μB/f.u.
Symmetry: P4/mmm (123)

Lattice parameters (Å, degrees): 4.4859 4.4859 4.4749 90.00 90.00 90.00
Last column: nearest neighbours and their distance in Å.
Fractional coordinates of all 5 atoms:
Hf 0.0000 0.0000 0.5000  2 H 2.24
H 0.0000 0.0000 0.0000  2 Hf 2.24, 4 Zr 2.24
Zr 0.0000 0.5000 0.0000  2 H 2.24
Zr 0.5000 0.0000 0.0000  2 H 2.24
Tl 0.5000 0.5000 0.5000  8 Zr 3.17, 4 Hf 3.17

---

Below is a geometry-optimized SrZnGe2Pt5 structure, with properties calculated at the PBE level.

Results
E: -5.25 eV per atom
Magnetic moment: 0.000 μB/f.u.
Symmetry: P4/mmm (123)

Lattice parameters (Å, degrees): 4.1530 4.1530 10.6486 90.00 90.00 90.00
Last column: nearest neighbours and their distance in Å.
Fractional coordinates of all 9 atoms:
Zn 0.0000 0.0000 0.0000  8 Pt 2.60
Pt 0.5000 0.0000 0.8528  2 Ge 2.47, 2 Zn 2.60
Pt 0.0000 0.5000 0.1472  2 Ge 2.47, 2 Zn 2.60
Pt 0.5000 0.0000 0.1472  2 Ge 2.47, 2 Zn 2.60
Sr 0.0000 0.0000 0.5000  4 Pt 2.94
Pt 0.0000 0.5000 0.8528  2 Ge 2.47, 2 Zn 2.60
Pt 0.5000 0.5000 0.5000  2 Ge 2.42
Ge 0.5000 0.5000 0.2723  5 Pt 2.42-2.47
Ge 0.5000 0.5000 0.7277  5 Pt 2.42-2.47

---

Below is a geometry-optimized CrGaRh3 structure, with properties calculated at the PBE level.

Results
E: -6.21 eV per atom
Magnetic moment: 0.000 μB/f.u.
Symmetry: Pm-3m (221)

Lattice parameters (Å, degrees): 4.4582 4.4582 4.4582 90.00 90.00 90.00
Last column: nearest neighbours and their distance in Å.
Fractional coordinates of all 5 atoms:
Cr 0.0000 0.0000 0.0000  6 Rh 2.23
Rh 0.0000 0.5000 0.0000  2 Cr 2.23
Ga 0.5000 0.5000 0.5000  12 Rh 3.15
Rh 0.0000 0.0000 0.5000  2 Cr 2.23
Rh 0.5000 0.0000 0.0000  2 Cr 2.23

---

Below is a geometry-optimized CsB3H structure, with properties calculated at the PBE level.

Results
E: -1.13 eV per atom
Magnetic moment: 1.666 μB/f.u.
Symmetry: Pm-3m (221)

Lattice parameters (Å, degrees): 5.5844 5.5844 5.5844 90.00 90.00 90.00
Last column: nearest neighbours and their distance in Å.
Fractional coordinates of all 5 atoms:
Cs 0.0000 0.0000 0.0000  6 B 2.79
B 0.0000 0.0000 0.5000  2 Cs 2.79
H 0.5000 0.5000 0.5000  12 B 3.95
B 0.5000 0.0000 0.0000  2 Cs 2.79
B 0.0000 0.5000 0.0000  2 Cs 2.79